one | Density functional theory data (PBE) for Al6Zn5Ga after structural relaxation.

Calculated values
Crystal system ... monoclinic
Volume ... 193 Å³ per cell
D(E_F) ... 0.2609 states/eV/atom
Spin magnetization ... 0.00 Bohr magnetons per cell

a b c (Å): 4.8610 4.8610 9.6056
angles (deg): 95.02 95.02 120.14
Element x y z (fractional)
Al 0.0808 0.4155 0.2470
Al 0.2502 0.2502 0.7529
Al 0.4155 0.0808 0.2470
Al 0.5845 0.9192 0.7530
Al 0.7498 0.7498 0.2471
Al 0.9192 0.5845 0.7530
Zn 0.0000 0.0000 0.0000
Zn 0.1665 0.8335 0.5000
Zn 0.3341 0.6659 0.0000
Zn 0.6659 0.3341 0.0000
Zn 0.8335 0.1665 0.5000
Ga 0.5000 0.5000 0.5000

=====

two | Density functional theory data (PBE) for Al6Zn5Ga after structural relaxation.

Calculated values
Crystal system ... triclinic
Volume ... 194 Å³ per cell
D(E_F) ... 0.2396 states/eV/atom
Spin magnetization ... 0.00 Bohr magnetons per cell

a b c (Å): 4.7698 5.7239 7.1048
angles (deg): 90.91 90.81 90.71
Element x y z (fractional)
Al 0.0003 0.2481 0.0002
Al 0.9997 0.7519 0.9998
Al 0.3329 0.2500 0.6637
Al 0.3334 0.7508 0.6645
Al 0.6666 0.2492 0.3355
Al 0.6671 0.7500 0.3363
Zn 0.1633 0.5002 0.3346
Zn 0.1671 0.0003 0.3325
Zn 0.5000 0.0000 0.0000
Zn 0.8329 0.9997 0.6675
Zn 0.8367 0.4998 0.6654
Ga 0.5000 0.5000 0.0000

=====

Top of the stability list: one, leading by 0.6 kJ/mol of atoms.

=====

one | Density functional theory data (PBE) for Al2Zn2Ga after structural relaxation.

Calculated values
Crystal system ... tetragonal
Volume ... 174 Å³ per cell
D(E_F) ... 0.3632 states/eV/atom
Spin magnetization ... 0.00 Bohr magnetons per cell

a b c (Å): 7.9535 7.9535 2.7525
angles (deg): 90.00 90.00 90.00
Element x y z (fractional)
Al 0.1260 0.3740 0.0000
Al 0.3740 0.8740 0.0000
Al 0.6260 0.1260 0.0000
Al 0.8740 0.6260 0.0000
Zn 0.1706 0.6706 0.5000
Zn 0.3294 0.1706 0.5000
Zn 0.6706 0.8294 0.5000
Zn 0.8294 0.3294 0.5000
Ga 0.0000 0.0000 0.0000
Ga 0.5000 0.5000 0.0000

=====

two | Density functional theory data (PBE) for Al2Zn2Ga after structural relaxation.

Calculated values
Crystal system ... tetragonal
Volume ... 173 Å³ per cell
D(E_F) ... 0.4370 states/eV/atom
Spin magnetization ... 0.00 Bohr magnetons per cell

a b c (Å): 7.8528 7.8528 2.7995
angles (deg): 90.00 90.00 90.00
Element x y z (fractional)
Al 0.1710 0.3290 0.0000
Al 0.3290 0.8290 0.0000
Al 0.6710 0.1710 0.0000
Al 0.8290 0.6710 0.0000
Zn 0.1265 0.6265 0.5000
Zn 0.3735 0.1265 0.5000
Zn 0.6265 0.8735 0.5000
Zn 0.8735 0.3735 0.5000
Ga 0.0000 0.0000 0.5000
Ga 0.5000 0.5000 0.5000

=====

three | Density functional theory data (PBE) for Al2Zn2Ga after structural relaxation.

Calculated values
Crystal system ... tetragonal
Volume ... 89 Å³ per cell
D(E_F) ... 0.3755 states/eV/atom
Spin magnetization ... 0.00 Bohr magnetons per cell

a b c (Å): 7.2301 7.2301 7.2301
angles (deg): 150.87 150.87 41.67
Element x y z (fractional)
Al 0.0997 0.0997 0.0000
Al 0.9003 0.9003 0.0000
Zn 0.2500 0.7500 0.5000
Zn 0.7500 0.2500 0.5000
Ga 0.5000 0.5000 0.0000

=====

Top of the stability list: one, leading by 0.9 kJ/mol of atoms.

=====

one | Density functional theory data (PBE) for AlZn2Ga8 after structural relaxation.

Calculated values
Crystal system ... monoclinic
Volume ... 215 Å³ per cell
D(E_F) ... 0.3012 states/eV/atom
Spin magnetization ... 0.00 Bohr magnetons per cell

a b c (Å): 6.9041 6.9041 4.7347
angles (deg): 96.05 96.05 74.06
Element x y z (fractional)
Al 0.0000 0.0000 0.0000
Zn 0.1268 0.1268 0.5568
Zn 0.8732 0.8732 0.4432
Ga 0.2135 0.6421 0.2165
Ga 0.2487 0.2487 0.1311
Ga 0.3579 0.7865 0.7835
Ga 0.3796 0.3796 0.6894
Ga 0.6204 0.6204 0.3106
Ga 0.6421 0.2135 0.2165
Ga 0.7513 0.7513 0.8689
Ga 0.7865 0.3579 0.7835

=====

two | Density functional theory data (PBE) for AlZn2Ga8 after structural relaxation.

Calculated values
Crystal system ... monoclinic
Volume ... 208 Å³ per cell
D(E_F) ... 0.3170 states/eV/atom
Spin magnetization ... 0.00 Bohr magnetons per cell

a b c (Å): 9.8412 9.8412 3.5590
angles (deg): 94.78 94.78 141.37
Element x y z (fractional)
Al 0.0000 0.0000 0.0000
Zn 0.3726 0.6274 0.5000
Zn 0.6274 0.3726 0.5000
Ga 0.0321 0.3006 0.8128
Ga 0.2619 0.7381 0.0000
Ga 0.3006 0.0321 0.8128
Ga 0.3333 0.3333 0.6678
Ga 0.6667 0.6667 0.3322
Ga 0.6994 0.9679 0.1872
Ga 0.7381 0.2619 0.0000
Ga 0.9679 0.6994 0.1872

=====

Top of the stability list: one, leading by 2.0 kJ/mol of atoms.

=====

one | Density functional theory data (PBE) for Al2ZnGa5 after structural relaxation.

Calculated values
Crystal system ... triclinic
Volume ... 144 Å³ per cell
D(E_F) ... 0.2152 states/eV/atom
Spin magnetization ... 0.00 Bohr magnetons per cell

a b c (Å): 5.4362 5.5438 5.6541
angles (deg): 63.06 72.87 75.67
Element x y z (fractional)
Al 0.0000 0.0000 0.0000
Al 0.0000 0.5000 0.5000
Zn 0.5000 0.0000 0.5000
Ga 0.0000 0.0000 0.5000
Ga 0.0000 0.5000 0.0000
Ga 0.5000 0.0000 0.0000
Ga 0.5000 0.5000 0.0000
Ga 0.5000 0.5000 0.5000

=====

two | Density functional theory data (PBE) for Al2ZnGa5 after structural relaxation.

Calculated values
Crystal system ... orthorhombic
Volume ... 317 Å³ per cell
D(E_F) ... 0.3068 states/eV/atom
Spin magnetization ... 0.00 Bohr magnetons per cell

a b c (Å): 8.0343 8.0343 14.3812
angles (deg): 90.00 90.00 160.05
Element x y z (fractional)
Al 0.1206 0.8794 0.5689
Al 0.1206 0.8794 0.9311
Al 0.8794 0.1206 0.0689
Al 0.8794 0.1206 0.4311
Zn 0.1470 0.8530 0.2500
Zn 0.8530 0.1470 0.7500
Ga 0.0454 0.9546 0.1049
Ga 0.0454 0.9546 0.3951
Ga 0.1801 0.8199 0.7500
Ga 0.2272 0.7728 0.0867
Ga 0.2272 0.7728 0.4133
Ga 0.7728 0.2272 0.5867
Ga 0.7728 0.2272 0.9133
Ga 0.8199 0.1801 0.2500
Ga 0.9546 0.0454 0.6049
Ga 0.9546 0.0454 0.8951

=====

Top of the stability list: one, leading by 6.9 kJ/mol of atoms.

=====

one | Density functional theory data (PBE) for Al8Zn2Ga after structural relaxation.

Calculated values
Crystal system ... monoclinic
Volume ... 180 Å³ per cell
D(E_F) ... 0.3122 states/eV/atom
Spin magnetization ... 0.00 Bohr magnetons per cell

a b c (Å): 7.5023 7.5023 6.3404
angles (deg): 104.49 104.49 31.59
Element x y z (fractional)
Al 0.0470 0.0470 0.2264
Al 0.1383 0.1383 0.6871
Al 0.3170 0.3170 0.5892
Al 0.4074 0.4074 0.0412
Al 0.5926 0.5926 0.9588
Al 0.6830 0.6830 0.4108
Al 0.8617 0.8617 0.3129
Al 0.9530 0.9530 0.7736
Zn 0.2285 0.2285 0.1368
Zn 0.7715 0.7715 0.8632
Ga 0.5000 0.5000 0.5000

=====

two | Density functional theory data (PBE) for Al8Zn2Ga after structural relaxation.

Calculated values
Crystal system ... monoclinic
Volume ... 192 Å³ per cell
D(E_F) ... 0.3550 states/eV/atom
Spin magnetization ... 0.00 Bohr magnetons per cell

a b c (Å): 7.1543 7.1543 5.2045
angles (deg): 95.35 95.35 46.45
Element x y z (fractional)
Al 0.0884 0.0884 0.1442
Al 0.1507 0.6673 0.3460
Al 0.2820 0.2820 0.9548
Al 0.3327 0.8493 0.6540
Al 0.6673 0.1507 0.3460
Al 0.7180 0.7180 0.0452
Al 0.8493 0.3327 0.6540
Al 0.9116 0.9116 0.8558
Zn 0.2513 0.2513 0.4608
Zn 0.7487 0.7487 0.5392
Ga 0.5000 0.5000 0.0000

=====

Top of the stability list: one, leading by 8.7 kJ/mol of atoms.

=====

one | Density functional theory data (PBE) for AlZnGa6 after structural relaxation.

Calculated values
Crystal system ... orthorhombic
Volume ... 148 Å³ per cell
D(E_F) ... 0.3866 states/eV/atom
Spin magnetization ... 0.00 Bohr magnetons per cell

a b c (Å): 4.2717 6.5824 6.5824
angles (deg): 53.22 90.00 90.00
Element x y z (fractional)
Al 0.0000 0.0000 0.0000
Zn 0.0000 0.5247 0.5247
Ga 0.0000 0.0185 0.4987
Ga 0.0000 0.4987 0.0185
Ga 0.5000 0.3441 0.8571
Ga 0.5000 0.3740 0.3740
Ga 0.5000 0.8481 0.8481
Ga 0.5000 0.8571 0.3441

=====

two | Density functional theory data (PBE) for AlZnGa6 after structural relaxation.

Calculated values
Crystal system ... monoclinic
Volume ... 152 Å³ per cell
D(E_F) ... 0.3145 states/eV/atom
Spin magnetization ... 0.00 Bohr magnetons per cell

a b c (Å): 5.9711 5.9711 5.6661
angles (deg): 105.81 105.81 117.72
Element x y z (fractional)
Al 0.0000 0.0000 0.0000
Zn 0.0000 0.0000 0.5000
Ga 0.2313 0.7659 0.7483
Ga 0.2341 0.7687 0.2517
Ga 0.4934 0.4934 0.7459
Ga 0.5066 0.5066 0.2541
Ga 0.7659 0.2313 0.7483
Ga 0.7687 0.2341 0.2517

=====

Top of the stability list: one, leading by 1.9 kJ/mol of atoms.

=====

one | Density functional theory data (PBE) for AlZn4Ga after structural relaxation.

Calculated values
Crystal system ... cubic
Volume ... 99 Å³ per cell
D(E_F) ... 0.4717 states/eV/atom
Spin magnetization ... 0.00 Bohr magnetons per cell

a b c (Å): 5.1957 5.1957 5.1957
angles (deg): 60.00 60.00 60.00
Element x y z (fractional)
Al 0.0000 0.0000 0.0000
Zn 0.1244 0.6252 0.6252
Zn 0.6252 0.1244 0.6252
Zn 0.6252 0.6252 0.1244
Zn 0.6252 0.6252 0.6252
Ga 0.2500 0.2500 0.2500

=====

two | Density functional theory data (PBE) for AlZn4Ga after structural relaxation.

Calculated values
Crystal system ... monoclinic
Volume ... 198 Å³ per cell
D(E_F) ... 0.1885 states/eV/atom
Spin magnetization ... 0.00 Bohr magnetons per cell

a b c (Å): 6.7277 6.7277 7.6288
angles (deg): 123.35 123.35 45.68
Element x y z (fractional)
Al 0.2478 0.7522 0.7500
Al 0.7522 0.2478 0.2500
Zn 0.0006 0.4989 0.6655
Zn 0.2507 0.7480 0.4153
Zn 0.2520 0.7493 0.0847
Zn 0.4989 0.0006 0.1655
Zn 0.5011 0.9994 0.8345
Zn 0.7480 0.2507 0.9153
Zn 0.7493 0.2520 0.5847
Zn 0.9994 0.5011 0.3345
Ga 0.0000 0.5000 0.0000
Ga 0.5000 0.0000 0.5000

=====

Top of the stability list: two, leading by 4.1 kJ/mol of atoms.

=====

one | Density functional theory data (PBE) for Al3ZnGa3 after structural relaxation.

Calculated values
Crystal system ... monoclinic
Volume ... 505 Å³ per cell
D(E_F) ... 0.2681 states/eV/atom
Spin magnetization ... 0.00 Bohr magnetons per cell

a b c (Å): 5.9944 10.6485 9.6603
angles (deg): 90.00 124.98 90.00
Element x y z (fractional)
Al 0.1091 0.2410 0.0025
Al 0.1091 0.2590 0.5025
Al 0.2228 0.7455 0.8827
Al 0.2228 0.7545 0.3827
Al 0.2491 0.5147 0.5322
Al 0.2491 0.9853 0.0322
Al 0.7509 0.0147 0.9678
Al 0.7509 0.4853 0.4678
Al 0.7772 0.2455 0.6173
Al 0.7772 0.2545 0.1173
Al 0.8909 0.7410 0.4975
Al 0.8909 0.7590 0.9975
Zn 0.4781 0.0686 0.6305
Zn 0.4781 0.4314 0.1305
Zn 0.5219 0.5686 0.8695
Zn 0.5219 0.9314 0.3695
Ga 0.0709 0.0421 0.3149
Ga 0.0709 0.4579 0.8149
Ga 0.2926 0.1534 0.8198
Ga 0.2926 0.3466 0.3198
Ga 0.4069 0.6615 0.2006
Ga 0.4069 0.8385 0.7006
Ga 0.5931 0.1615 0.2994
Ga 0.5931 0.3385 0.7994
Ga 0.7074 0.6534 0.6802
Ga 0.7074 0.8466 0.1802
Ga 0.9291 0.5421 0.1851
Ga 0.9291 0.9579 0.6851

=====

two | Density functional theory data (PBE) for Al3ZnGa3 after structural relaxation.

Calculated values
Crystal system ... cubic
Volume ... 373 Å³ per cell
D(E_F) ... 0.4594 states/eV/atom
Spin magnetization ... 0.00 Bohr magnetons per cell

a b c (Å): 7.1955 7.1955 7.1955
angles (deg): 90.00 90.00 90.00
Element x y z (fractional)
Al 0.0000 0.2500 0.5000
Al 0.0000 0.7500 0.5000
Al 0.2500 0.5000 0.0000
Al 0.5000 0.0000 0.2500
Al 0.5000 0.0000 0.7500
Al 0.7500 0.5000 0.0000
Zn 0.0000 0.0000 0.0000
Zn 0.5000 0.5000 0.5000
Ga 0.0000 0.5000 0.2500
Ga 0.0000 0.5000 0.7500
Ga 0.2500 0.0000 0.5000
Ga 0.5000 0.2500 0.0000
Ga 0.5000 0.7500 0.0000
Ga 0.7500 0.0000 0.5000

=====

Top of the stability list: one, leading by 44.9 kJ/mol of atoms.

=====

one | Density functional theory data (PBE) for Al7Zn2Ga2 after structural relaxation.

Calculated values
Crystal system ... monoclinic
Volume ... 199 Å³ per cell
D(E_F) ... 0.1787 states/eV/atom
Spin magnetization ... 0.00 Bohr magnetons per cell

a b c (Å): 6.4277 6.4277 4.9570
angles (deg): 95.74 95.74 78.63
Element x y z (fractional)
Al 0.0000 0.0000 0.0000
Al 0.0441 0.3958 0.2399
Al 0.3958 0.0441 0.2399
Al 0.4530 0.4530 0.2334
Al 0.5470 0.5470 0.7666
Al 0.6042 0.9559 0.7601
Al 0.9559 0.6042 0.7601
Zn 0.2008 0.7992 0.5000
Zn 0.7992 0.2008 0.5000
Ga 0.2380 0.2380 0.7452
Ga 0.7620 0.7620 0.2548

=====

two | Density functional theory data (PBE) for Al7Zn2Ga2 after structural relaxation.

Calculated values
Crystal system ... monoclinic
Volume ... 208 Å³ per cell
D(E_F) ... 0.2733 states/eV/atom
Spin magnetization ... 0.00 Bohr magnetons per cell

a b c (Å): 5.8076 5.9008 6.0824
angles (deg): 90.00 94.23 90.00
Element x y z (fractional)
Al 0.0000 0.0000 0.0000
Al 0.0000 0.2589 0.5000
Al 0.0000 0.7411 0.5000
Al 0.5000 0.2531 0.0000
Al 0.5000 0.2767 0.5000
Al 0.5000 0.7233 0.5000
Al 0.5000 0.7469 0.0000
Zn 0.2799 0.0000 0.7177
Zn 0.7201 0.0000 0.2823
Ga 0.1683 0.5000 0.1705
Ga 0.8317 0.5000 0.8295

=====

Top of the stability list: one, leading by 3.1 kJ/mol of atoms.

=====

one | Density functional theory data (PBE) for Al4Zn2Ga after structural relaxation.

Calculated values
Crystal system ... tetragonal
Volume ... 157 Å³ per cell
D(E_F) ... 0.3470 states/eV/atom
Spin magnetization ... 0.00 Bohr magnetons per cell

a b c (Å): 7.1725 7.1725 7.1725
angles (deg): 139.11 139.11 59.21
Element x y z (fractional)
Al 0.0000 0.5000 0.5000
Al 0.1990 0.1990 0.0000
Al 0.5000 0.0000 0.5000
Al 0.8010 0.8010 0.0000
Zn 0.3977 0.3977 0.0000
Zn 0.6023 0.6023 0.0000
Ga 0.0000 0.0000 0.0000

=====

two | Density functional theory data (PBE) for Al4Zn2Ga after structural relaxation.

Calculated values
Crystal system ... tetragonal
Volume ... 124 Å³ per cell
D(E_F) ... 0.3476 states/eV/atom
Spin magnetization ... 0.00 Bohr magnetons per cell

a b c (Å): 5.5919 5.5919 5.5919
angles (deg): 101.13 101.13 127.88
Element x y z (fractional)
Al 0.1962 0.1962 0.3925
Al 0.1962 0.8038 0.0000
Al 0.8038 0.1962 0.0000
Al 0.8038 0.8038 0.6075
Zn 0.2500 0.7500 0.5000
Zn 0.7500 0.2500 0.5000
Ga 0.5000 0.5000 0.0000

=====

Top of the stability list: two, leading by 37.1 kJ/mol of atoms.